# AsC2 GGA-PBE relaxed
# Final energy   -14.976 eV per formula unit
# Spin magnetization   0.00 μB per formula unit
# Density of states at the Fermi level   2.4 states/eV/f.u.
# Volume   11.27 A^3/atom
# SG   Fm-3m
# Offset from the most stable computed form   2356 meV/atom
data_AsC2
_chemical_formula_sum 'As1 C2'
_symmetry_space_group_name_H-M 'P 1'
_symmetry_Int_Tables_number 1
_symmetry_space_group_name_Hall 'P 1'
_cell_length_a 3.629
_cell_length_b 3.629
_cell_length_c 3.629
_cell_angle_alpha 60.00
_cell_angle_beta 60.00
_cell_angle_gamma 60.00
loop_
_atom_site_label
_atom_site_fract_x
_atom_site_fract_y
_atom_site_fract_z
As1 0.000 0.000 0.000
C1 0.250 0.250 0.250
C2 0.750 0.750 0.750